The following is a DFT calculation (PBE+U) of a geometry-optimized CsUMoO6 structure.

Cell: 7.700 7.700 7.700 Å, 122.35 118.01 89.73°
Element x y z (fractional)
Cs: 0.374 0.124 0.250
Cs: 0.626 0.876 0.750
U: 0.000 0.500 0.500
U: 0.500 0.500 0.000
Mo: 0.000 0.000 0.500
Mo: 0.000 0.500 0.000
O: 0.052 0.802 0.250
O: 0.057 0.431 0.236
O: 0.057 0.821 0.626
O: 0.305 0.179 0.736
O: 0.305 0.569 0.126
O: 0.322 0.572 0.750
O: 0.678 0.428 0.250
O: 0.695 0.431 0.874
O: 0.695 0.821 0.264
O: 0.943 0.179 0.374
O: 0.943 0.569 0.764
O: 0.948 0.198 0.750

Computed properties:
VASP energy	-141.07	eV/cell